# CaRe2Tc (PBE-GGA, optimized geometry)
data_CaRe2Tc
_cell_length_a 3.131
_cell_length_b 3.131
_cell_length_c 7.286
_cell_angle_alpha 90.00
_cell_angle_beta 90.00
_cell_angle_gamma 90.00
_space_group_name_H-M_alt 'P 4 m m'
_space_group_IT_number 99
loop_
_space_group_symop_operation_xyz
'x,y,z'
'-y,x,z'
'-x,-y,z'
'y,-x,z'
'-x,y,z'
'y,x,z'
'x,-y,z'
'-y,-x,z'
loop_
_atom_site_label
_atom_site_type_symbol
_atom_site_fract_x
_atom_site_fract_y
_atom_site_fract_z
Ca1 Ca 0.000 0.000 0.000
Re1 Re 0.000 0.000 0.500
Re2 Re 0.500 0.500 0.300
Tc1 Tc 0.500 0.500 0.702
# Magnetization in μB/cell: 0.0
# VASP energy in eV per atom: -8.85
# E_form in meV/atom: 463


# NaAcPrCd (PBE-GGA, optimized geometry)
data_NaAcPrCd
_cell_length_a 8.115
_cell_length_b 8.115
_cell_length_c 8.115
_cell_angle_alpha 90.00
_cell_angle_beta 90.00
_cell_angle_gamma 90.00
_space_group_name_H-M_alt 'F -4 3 m'
_space_group_IT_number 216
_space_group_name_Hall 'F -4 2 3'
loop_
_atom_site_label
_atom_site_type_symbol
_atom_site_fract_x
_atom_site_fract_y
_atom_site_fract_z
Na1 Na 0.000 0.000 0.000
Ac1 Ac 0.250 0.250 0.250
Pr1 Pr 0.250 0.250 0.750
Cd1 Cd 0.000 0.000 0.500
# Magnetization in μB/cell: 0.0
# VASP energy in eV per atom: -2.79
# E_form in meV/atom: -7


# CeHoTmZn (PBE-GGA, optimized geometry)
data_CeHoTmZn
_cell_length_a 7.491
_cell_length_b 7.491
_cell_length_c 7.491
_cell_angle_alpha 90.00
_cell_angle_beta 90.00
_cell_angle_gamma 90.00
_space_group_name_H-M_alt 'F -4 3 m'
_space_group_IT_number 216
_space_group_name_Hall 'F -4 2 3'
loop_
_atom_site_label
_atom_site_type_symbol
_atom_site_fract_x
_atom_site_fract_y
_atom_site_fract_z
Ce1 Ce 0.000 0.000 0.000
Ho1 Ho 0.000 0.000 0.500
Tm1 Tm 0.250 0.250 0.250
Zn1 Zn 0.250 0.250 0.750
# Magnetization in μB/cell: 5.9
# VASP energy in eV per atom: -4.01
# E_form in meV/atom: 52


# CuSiTc2 (PBE-GGA, optimized geometry)
data_CuSiTc2
_cell_length_a 3.062
_cell_length_b 4.403
_cell_length_c 8.170
_cell_angle_alpha 90.00
_cell_angle_beta 90.00
_cell_angle_gamma 90.00
_space_group_name_H-M_alt 'C m m m'
_space_group_IT_number 65
_space_group_name_Hall '-C 2 2'
loop_
_atom_site_label
_atom_site_type_symbol
_atom_site_fract_x
_atom_site_fract_y
_atom_site_fract_z
Cu1 Cu 0.000 0.000 0.000
Si1 Si 0.000 0.000 0.500
Tc1 Tc 0.000 0.500 0.263
# Magnetization in μB/cell: 0.0
# VASP energy in eV per atom: -7.41
# Formation energy without anion corrections in meV per atom: 149


Please write out number 1 again, unchanged.
# CaRe2Tc (PBE-GGA, optimized geometry)
data_CaRe2Tc
_cell_length_a 3.131
_cell_length_b 3.131
_cell_length_c 7.286
_cell_angle_alpha 90.00
_cell_angle_beta 90.00
_cell_angle_gamma 90.00
_space_group_name_H-M_alt 'P 4 m m'
_space_group_IT_number 99
loop_
_space_group_symop_operation_xyz
'x,y,z'
'-y,x,z'
'-x,-y,z'
'y,-x,z'
'-x,y,z'
'y,x,z'
'x,-y,z'
'-y,-x,z'
loop_
_atom_site_label
_atom_site_type_symbol
_atom_site_fract_x
_atom_site_fract_y
_atom_site_fract_z
Ca1 Ca 0.000 0.000 0.000
Re1 Re 0.000 0.000 0.500
Re2 Re 0.500 0.500 0.300
Tc1 Tc 0.500 0.500 0.702
# Magnetization in μB/cell: 0.0
# VASP energy in eV per atom: -8.85
# E_form in meV/atom: 463


Question: Which value of VASP energy does entry 4 give?
Answer: -7.41 eV per atom